w | A plane-wave DFT calculation with GGA-PBE was carried out for a relaxed structure of PmY6S8.

```
15
Lattice="0.000 5.540 5.540 5.540 0.000 5.540 5.540 5.540 0.000" Properties=species:S:1:pos:R:3 pbc="T T T"
Pm 0.000 0.000 0.000
Y 2.770 2.770 0.000
Y 2.770 0.000 2.770
Y 5.540 2.770 2.770
Y 0.000 2.770 2.770
Y 2.770 5.540 2.770
Y 2.770 2.770 5.540
S 2.770 2.770 2.770
S 5.540 5.540 2.833
S 5.540 2.833 5.540
S 8.247 5.540 5.540
S 2.833 5.540 5.540
S 5.540 8.247 5.540
S 5.540 5.540 8.247
S 8.310 8.310 8.310
```

Magnetization ... 0.0 μB/f.u.
Space group ... No. 225

x | A plane-wave DFT calculation with GGA-PBE was carried out for a relaxed structure of PmY6S8.

```
15
Lattice="5.822 3.361 3.959 -5.822 3.361 3.959 0.000 -6.723 3.959" Properties=species:S:1:pos:R:3 pbc="T T T"
Pm 0.000 0.000 0.000
Y -1.024 -1.912 4.400
Y -1.144 1.842 4.400
Y -2.168 -0.069 7.478
Y 2.168 0.069 4.400
Y 1.144 -1.842 7.478
Y 1.024 1.912 7.478
S -3.008 -0.046 4.899
S 0.000 0.000 2.713
S -1.464 -2.628 6.978
S 1.544 -2.582 4.899
S -1.544 2.582 6.978
S 1.464 2.628 4.899
S 0.000 0.000 9.165
S 3.008 0.046 6.978
```

Magnetization ... 0.0 μB/f.u.
Space group ... No. 148

Least stable structure: x

w | A plane-wave DFT calculation with GGA-PBE was carried out for a relaxed structure of PmY3S4.

```
8
Lattice="5.587 0.000 0.000 0.000 5.587 0.000 0.000 0.000 5.587" Properties=species:S:1:pos:R:3 pbc="T T T"
Pm 0.000 0.000 0.000
Y 0.000 2.793 2.793
Y 2.793 0.000 2.793
Y 2.793 2.793 0.000
S 0.000 0.000 2.793
S 0.000 2.793 0.000
S 2.793 0.000 0.000
S 2.793 2.793 2.793
```

Magnetization ... 0.0 μB/f.u.
Space group ... No. 221

x | A plane-wave DFT calculation with GGA-PBE was carried out for a relaxed structure of PmY3S4.

```
8
Lattice="3.981 -5.587 0.000 3.981 5.587 0.000 0.000 0.000 3.914" Properties=species:S:1:pos:R:3 pbc="T T T"
Pm 0.000 0.000 0.000
Y 1.990 2.793 1.957
Y 1.990 -2.793 1.957
Y 3.981 0.000 0.000
S 3.981 2.752 0.000
S 2.050 0.000 1.957
S 5.912 0.000 1.957
S 3.981 -2.752 0.000
```

Magnetization ... 0.0 μB/f.u.
Space group ... No. 65

Least stable structure: w

w | A plane-wave DFT calculation with GGA-PBE was carried out for a relaxed structure of Pm2ZnS.

```
4
Lattice="1.971 1.138 7.618 -1.971 1.138 7.618 0.000 -2.276 7.618" Properties=species:S:1:pos:R:3 pbc="T T T"
Pm 0.000 0.000 0.000
Pm 0.000 0.000 4.285
Zn 0.000 0.000 17.376
S 0.000 0.000 13.523
```

Magnetization ... 0.0 μB/f.u.
Space group ... No. 160

x | A plane-wave DFT calculation with GGA-PBE was carried out for a relaxed structure of Pm2ZnS.

```
8
Lattice="1.988 -11.732 0.000 1.988 11.732 0.000 0.000 0.000 4.209" Properties=species:S:1:pos:R:3 pbc="T T T"
Pm 1.988 10.007 3.157
Pm 1.988 4.414 3.157
Pm 1.988 -4.414 1.052
Pm 1.988 -10.007 1.052
Zn 1.988 0.860 3.157
Zn 1.988 -0.860 1.052
S 1.988 7.209 3.157
S 1.988 -7.209 1.052
```

Magnetization ... 0.0 μB/f.u.
Space group ... No. 63

Least stable structure: w

w | A plane-wave DFT calculation with GGA-PBE was carried out for a relaxed structure of PmSb2.

```
12
Lattice="3.151 -3.072 0.000 3.151 3.072 0.000 0.000 0.000 18.144" Properties=species:S:1:pos:R:3 pbc="T T T"
Pm 3.151 2.213 16.135
Pm 3.151 0.860 7.063
Pm 3.151 -0.860 11.081
Pm 3.151 -2.213 2.009
Sb 1.575 0.767 13.608
Sb 3.151 2.233 10.236
Sb 3.151 0.839 1.164
Sb 1.575 -0.767 4.536
Sb 4.726 0.767 13.608
Sb 3.151 -0.839 16.980
Sb 3.151 -2.233 7.908
Sb 4.726 -0.767 4.536
```

Magnetization ... 0.0 μB/f.u.
Space group ... No. 64

x | A plane-wave DFT calculation with GGA-PBE was carried out for a relaxed structure of PmSb2.

```
6
Lattice="0.000 4.450 4.450 4.450 0.000 4.450 4.450 4.450 0.000" Properties=species:S:1:pos:R:3 pbc="T T T"
Pm 1.113 1.113 1.113
Pm 7.788 7.788 7.788
Sb 4.450 2.225 2.225
Sb 2.225 4.450 2.225
Sb 2.225 2.225 4.450
Sb 4.450 4.450 4.450
```

Magnetization ... 0.0 μB/f.u.
Space group ... No. 227

Least stable structure: x

w | A plane-wave DFT calculation with GGA-PBE was carried out for a relaxed structure of PmSb2.

```
3
Lattice="2.915 -2.911 0.000 2.915 2.911 0.000 -2.912 0.000 5.007" Properties=species:S:1:pos:R:3 pbc="T T T"
Pm 0.000 0.000 0.000
Sb 0.008 0.000 3.482
Sb 2.910 0.000 1.525
```

Magnetization ... 0.0 μB/f.u.
Space group ... No. 12

x | A plane-wave DFT calculation with GGA-PBE was carried out for a relaxed structure of PmSb2.

```
6
Lattice="2.226 -8.571 0.000 2.226 8.571 0.000 0.000 0.000 4.450" Properties=species:S:1:pos:R:3 pbc="T T T"
Pm 2.226 6.773 3.337
Pm 2.226 -6.773 1.112
Sb 2.226 4.288 1.112
Sb 2.226 1.136 3.337
Sb 2.226 -1.136 1.112
Sb 2.226 -4.288 3.337
```

Magnetization ... 0.0 μB/f.u.
Space group ... No. 63

Least stable structure: w

w | A plane-wave DFT calculation with GGA-PBE was carried out for a relaxed structure of Pm4Sb3.

```
7
Lattice="6.263 0.000 0.000 0.000 6.263 0.000 0.000 0.000 6.263" Properties=species:S:1:pos:R:3 pbc="T T T"
Pm 0.000 0.000 0.000
Pm 0.000 3.131 3.131
Pm 3.131 0.000 3.131
Pm 3.131 3.131 0.000
Sb 0.000 0.000 3.131
Sb 0.000 3.131 0.000
Sb 3.131 0.000 0.000
```

Magnetization ... 0.1 μB/f.u.
Space group ... No. 221

x | A plane-wave DFT calculation with GGA-PBE was carried out for a relaxed structure of Pm4Sb3.

```
14
Lattice="7.503 4.332 2.163 -7.503 4.332 2.163 0.000 -8.664 2.163" Properties=species:S:1:pos:R:3 pbc="T T T"
Pm 0.000 0.000 0.000
Pm -1.662 -2.879 1.622
Pm -1.662 2.880 1.622
Pm 3.325 0.000 1.622
Pm 0.000 0.000 3.245
Pm -3.325 0.000 4.867
Pm 1.662 -2.880 4.867
Pm 1.662 2.880 4.867
Sb -2.983 0.000 1.622
Sb 1.492 -2.583 1.622
Sb 1.492 2.583 1.622
Sb -1.492 -2.583 4.867
Sb -1.492 2.583 4.867
Sb 2.983 0.000 4.867
```

Magnetization ... 0.0 μB/f.u.
Space group ... No. 167

Least stable structure: w

w | A plane-wave DFT calculation with GGA-PBE was carried out for a relaxed structure of PmScSb2.

```
4
Lattice="2.169 1.253 7.044 -2.169 1.253 7.044 0.000 -2.505 7.044" Properties=species:S:1:pos:R:3 pbc="T T T"
Pm 0.000 0.000 0.000
Sc 0.000 0.000 10.566
Sb 0.000 0.000 5.128
Sb 0.000 0.000 16.005
```

Magnetization ... 0.0 μB/f.u.
Space group ... No. 166

x | A plane-wave DFT calculation with GGA-PBE was carried out for a relaxed structure of PmScSb2.

```
4
Lattice="3.992 0.000 0.000 0.000 3.992 0.000 0.000 0.000 6.552" Properties=species:S:1:pos:R:3 pbc="T T T"
Pm 0.000 0.000 0.000
Sc 0.000 0.000 3.276
Sb 1.996 1.996 1.727
Sb 1.996 1.996 4.825
```

Magnetization ... 0.0 μB/f.u.
Space group ... No. 123

y | A plane-wave DFT calculation with GGA-PBE was carried out for a relaxed structure of PmScSb2.

```
4
Lattice="0.000 3.761 3.761 3.761 0.000 3.761 3.761 3.761 0.000" Properties=species:S:1:pos:R:3 pbc="T T T"
Pm 0.000 0.000 0.000
Sc 3.761 3.761 3.761
Sb 1.880 1.880 1.880
Sb 5.641 5.641 5.641
```

Magnetization ... 0.0 μB/f.u.
Space group ... No. 225

Least stable structure: y

w | A plane-wave DFT calculation with GGA-PBE was carried out for a relaxed structure of PmScSb2.

```
8
Lattice="4.325 0.000 0.000 0.000 6.177 0.000 0.000 0.000 8.639" Properties=species:S:1:pos:R:3 pbc="T T T"
Pm 1.081 1.544 1.116
Pm 3.244 4.633 7.523
Sc 1.081 1.544 5.401
Sc 3.244 4.633 3.238
Sb 1.081 4.633 1.203
Sb 1.081 4.633 5.246
Sb 3.244 1.544 3.392
Sb 3.244 1.544 7.436
```

Magnetization ... 0.0 μB/f.u.
Space group ... No. 59

x | A plane-wave DFT calculation with GGA-PBE was carried out for a relaxed structure of PmScSb2.

```
4
Lattice="5.637 0.000 0.000 0.000 5.637 0.000 0.000 0.000 3.308" Properties=species:S:1:pos:R:3 pbc="T T T"
Pm 0.000 0.000 0.000
Sc 2.819 2.819 0.000
Sb 0.000 2.819 1.654
Sb 2.819 0.000 1.654
```

Magnetization ... 0.0 μB/f.u.
Space group ... No. 123

y | A plane-wave DFT calculation with GGA-PBE was carried out for a relaxed structure of PmScSb2.

```
4
Lattice="2.151 1.242 7.285 -2.151 1.242 7.285 0.000 -2.484 7.285" Properties=species:S:1:pos:R:3 pbc="T T T"
Pm 0.000 0.000 0.000
Sc 0.000 0.000 3.738
Sb 0.000 0.000 12.606
Sb 0.000 0.000 16.617
```

Magnetization ... 0.0 μB/f.u.
Space group ... No. 160

Least stable structure: x